Record 1
Density functional theory data (PBE-GGA) for an optimized crystal structure of EuMgHgGe.

## Properties
N(E_F) = 0.39 states/eV/f.u.
energy of formation from the pure elements = -441 meV/atom

a b c (Å): 7.260 7.260 7.260
angles (deg): 90.00 90.00 90.00
Fractional positions:
Eu  0.000  0.000  0.000
Eu  0.000  0.500  0.500
Eu  0.500  0.000  0.500
Eu  0.500  0.500  0.000
Mg  0.000  0.000  0.500
Mg  0.000  0.500  0.000
Mg  0.500  0.000  0.000
Mg  0.500  0.500  0.500
Hg  0.250  0.250  0.250
Hg  0.250  0.750  0.750
Hg  0.750  0.250  0.750
Hg  0.750  0.750  0.250
Ge  0.250  0.250  0.750
Ge  0.250  0.750  0.250
Ge  0.750  0.250  0.250
Ge  0.750  0.750  0.750

=====

Record 2
Density functional theory data (PBE-GGA) for an optimized crystal structure of Nb3CdFe.

## Properties
N(E_F) = 3.27 states/eV/f.u.
energy above the most stable polymorph in this dataset = 0.000 eV/atom
energy of formation from the pure elements = 589 meV/atom

a b c (Å): 4.627 4.627 4.627
angles (deg): 90.00 90.00 90.00
Fractional positions:
Nb  0.000  0.000  0.500
Nb  0.000  0.500  0.000
Nb  0.500  0.000  0.000
Cd  0.500  0.500  0.500
Fe  0.000  0.000  0.000